# Mg2NiH2, optimized geometry, DFT PBE
# Excess energy over the best structure of this formula in the dataset in meV per atom: 210
# Calculated volume in Å³ per atom: 10.76
# Total magnetization in μB/cell: 0.0
# Space group: P4/mbm, No. 127
data_Mg2NiH2
_cell_length_a 6.0469
_cell_length_b 6.0469
_cell_length_c 2.9417
_cell_angle_alpha 90.00
_cell_angle_beta 90.00
_cell_angle_gamma 90.00
_symmetry_space_group_name_H-M 'P 1'
_symmetry_Int_Tables_number 1
loop_
_symmetry_equiv_pos_as_xyz
'x,y,z'
loop_
_atom_site_label
_atom_site_type_symbol
_atom_site_fract_x
_atom_site_fract_y
_atom_site_fract_z
_atom_site_occupancy
H1 H 0.6401 0.1401 0.0000 1
H2 H 0.3599 0.8599 0.0000 1
H3 H 0.8599 0.6401 0.0000 1
H4 H 0.1401 0.3599 0.0000 1
Ni1 Ni 0.5000 0.5000 0.0000 1
Ni2 Ni 0.0000 0.0000 0.0000 1
Mg1 Mg 0.6888 0.8112 0.5000 1
Mg2 Mg 0.1888 0.6888 0.5000 1
Mg3 Mg 0.3112 0.1888 0.5000 1
Mg4 Mg 0.8112 0.3112 0.5000 1